[1]
Crystalline NaSmBi2 at its relaxed geometry, computed with GGA-PBE.

The structure belongs to space group P4/mmm (No. 123); the cell edges are 3.646, 3.646 and 9.169 Å and the angles 90.00°, 90.00° and 90.00°. Symmetry generates all atoms from Na at (0.000, 0.000, 0.000), Sm at (0.000, 0.000, 0.500) and Bi at (0.500, 0.500, 0.253).

As for the total magnetization: 0.16 μB/cell. Its energy of formation is -0.51 eV/atom. The calculation puts the relative energy among the computed polymorphs at 41 meV per atom. The density of states at the Fermi level comes out at 3.18 states/eV per cell.

---

[2]
Crystalline Zn2GeSb at its relaxed geometry, computed with GGA-PBE.

The structure belongs to space group I-42d (No. 122); the cell edges are 4.877, 4.877 and 15.499 Å and the angles 90.00°, 90.00° and 90.00°. Symmetry generates all atoms from Zn at (0.203, 0.250, 0.125), Ge at (0.000, 0.000, 0.000) and Sb at (0.000, 0.000, 0.500).

As for the total magnetization: 0.00 μB/cell. The calculation puts the relative energy among the computed polymorphs at 0 meV per atom. The density of states at the Fermi level comes out at 5.08 states/eV per cell. The calculation puts the uncorrected formation energy at 0.15 eV/atom.

---

[3]
Crystalline GaSiO3 at its relaxed geometry, computed with GGA-PBE.

The structure belongs to space group P-31m (No. 162); the cell edges are 4.7153, 4.7153 and 6.1335 Å and the angles 90.00°, 90.00° and 120.00°. Symmetry generates all atoms from Ga at (0.0000, 0.0000, 0.1968), Si at (0.3333, 0.6667, 0.5000) and O at (0.0000, 0.3663, 0.6604).

As for the total magnetization: 0.00 μB/cell. The density of states at the Fermi level comes out at 0.00 states/eV per cell. The calculation puts the uncorrected formation energy at -2.24 eV/atom.